1.
Compound: TeOs2Br
Source: Alexandria
Functional: GGA-PBE
Structure: relaxed

Results
Formation energy from raw total energies (eV per formula unit): 6.016
Magnetization (μB/f.u.): 0.00
Raw total energy (hartree per atom): -0.1953
Excess energy over the best structure of this formula in the dataset (meV per atom): 1184.1

abc: 4.6971 4.6971 4.6971
angles: 60.00 60.00 60.00
Fractional coordinates of all 4 atoms:
Os 0.2500 0.2500 0.2500
Os 0.0000 0.0000 0.0000
Te 0.7500 0.7500 0.7500
Br 0.5000 0.5000 0.5000

2.
Compound: Ce2PrOs
Source: Alexandria
Functional: GGA-PBE
Structure: relaxed

Results
Magnetization (μB/f.u.): 0.05
Raw total energy (hartree per atom): -0.2561
Energy relative to the elements (meV/atom): 1
Excess energy over the best structure of this formula in the dataset (meV per atom): 120.8

abc: 3.9949 3.9949 9.0708
angles: 77.28 77.28 60.00
Last column: magnetic moment on the atom in μB.
Fractional coordinates of all 4 atoms:
Pr 0.5013 0.5013 0.4962  0.01
Os 0.6656 0.6656 0.0033  0.00
Ce 0.2753 0.2753 0.1740  -0.02
Ce 0.0578 0.0578 0.8265  0.05

3.
Compound: AcNd3Os
Source: Alexandria
Functional: GGA-PBE
Structure: relaxed

Results
Magnetization (μB/f.u.): 0.00
Raw total energy (hartree per atom): -0.2175
Energy relative to the elements (meV/atom): 9
Excess energy over the best structure of this formula in the dataset (meV per atom): 25.7

abc: 7.8325 7.9776 10.7094
angles: 104.10 90.00 90.00
Fractional coordinates of all 20 atoms:
Nd 0.7920 0.4176 0.4692
Ac 0.0430 0.2909 0.7486
Nd 0.3758 0.1079 0.9051
Nd 0.7080 0.4176 0.9692
Ac 0.9570 0.7091 0.2514
Os 0.7514 0.0520 0.8881
Nd 0.6242 0.8921 0.0949
Nd 0.9833 0.1940 0.1242
Nd 0.4833 0.8060 0.3758
Ac 0.5430 0.7091 0.7514
Os 0.2514 0.9480 0.6119
Nd 0.0167 0.8060 0.8758
Nd 0.5167 0.1940 0.6242
Nd 0.2920 0.5824 0.0308
Nd 0.1242 0.1079 0.4051
Nd 0.8758 0.8921 0.5949
Os 0.7486 0.0520 0.3881
Nd 0.2080 0.5824 0.5308
Os 0.2486 0.9480 0.1119
Ac 0.4570 0.2909 0.2486